No. 1
Density functional theory data (PBEsol) for a geometry-optimized Zr2TeRu structure.

The calculation puts the formation energy (no corrections) at -0.453 eV per atom.

It has space group P2/m (No. 10), with a = 3.342 Å, b = 3.402 Å, c = 6.916 Å, α = 90.00°, β = 96.04° and γ = 90.00°. The asymmetric unit holds Zr at (0.016, 0.000, 0.274), Te at (0.500, 0.500, 0.000) and Ru at (0.500, 0.500, 0.500).

=====

No. 2
Density functional theory data (PBEsol) for a geometry-optimized ZrTe3Ru structure.

The calculation puts the formation energy (no corrections) at 0.903 eV per atom.

It has space group Pm-3m (No. 221), with a = 5.459 Å, b = 5.459 Å, c = 5.459 Å, α = 90.00°, β = 90.00° and γ = 90.00°. The asymmetric unit holds Zr at (0.000, 0.000, 0.000), Te at (0.000, 0.000, 0.500) and Ru at (0.500, 0.500, 0.500).

=====

No. 3
Density functional theory data (PBEsol) for a geometry-optimized ThRu structure.

The value obtained for the formation energy is -10.76 kcal/mol of atoms.

It has space group Cmcm (No. 63), with a = 3.842 Å, b = 11.434 Å, c = 3.925 Å, α = 90.00°, β = 90.00° and γ = 90.00°. The asymmetric unit holds Th at (0.000, 0.137, 0.250) and Ru at (0.000, 0.407, 0.250).

=====

No. 4
Density functional theory data (PBEsol) for a geometry-optimized YThRu2 structure.

The value obtained for the formation energy is -7.80 kcal/mol of atoms.

It has space group Fm-3m (No. 225), with a = 6.860 Å, b = 6.860 Å, c = 6.860 Å, α = 90.00°, β = 90.00° and γ = 90.00°. The asymmetric unit holds Y at (0.000, 0.000, 0.000), Th at (0.000, 0.000, 0.500) and Ru at (0.250, 0.250, 0.250).

=====

No. 5
Density functional theory data (PBEsol) for a geometry-optimized TiRu structure.

The value obtained for the formation energy is -17.01 kcal/mol of atoms.

It has space group Pm-3m (No. 221), with a = 3.043 Å, b = 3.043 Å, c = 3.043 Å, α = 90.00°, β = 90.00° and γ = 90.00°. The asymmetric unit holds Ti at (0.000, 0.000, 0.000) and Ru at (0.500, 0.500, 0.500).

=====

No. 6
Density functional theory data (PBEsol) for a geometry-optimized ZrTi3Ru structure.

The value obtained for the formation energy is 33.23 kcal/mol of atoms.

It has space group Pm-3m (No. 221), with a = 4.554 Å, b = 4.554 Å, c = 4.554 Å, α = 90.00°, β = 90.00° and γ = 90.00°. The asymmetric unit holds Zr at (0.000, 0.000, 0.000), Ti at (0.000, 0.000, 0.500) and Ru at (0.500, 0.500, 0.500).